No. 1
AgSbPb4 PBE-GGA relaxed; ΔE_f (raw) = 376 meV per atom; polymorph energy (0 for the lowest one) = 320 meV/atom; symmetry = F-43m (216)
1.0
0.0000 4.5508 4.5508
4.5508 0.0000 4.5508
4.5508 4.5508 0.0000
Sb Ag Pb
1 1 4
direct
0.7500 0.7500 0.7500
0.0000 0.0000 0.0000
0.8764 0.3745 0.3745
0.3745 0.3745 0.8764
0.3745 0.8764 0.3745
0.3745 0.3745 0.3745



No. 2
Li4CaTl PBE-GGA relaxed; polymorph energy (0 for the lowest one) = 14 meV/atom; symmetry = Pmma (51)
1.0
-3.8521 0.2357 3.2798
-5.0577 -3.2358 -5.7077
1.4890 -6.1977 2.1942
Tl Li Ca
2 8 2
direct
0.0000 0.7420 0.2500
0.0000 0.2580 0.7500
0.5000 0.0048 0.2500
0.5000 0.9952 0.7500
0.5000 0.3158 0.9498
0.5000 0.6842 0.0502
0.0000 0.0000 0.5000
0.5000 0.6842 0.4498
0.0000 0.0000 0.0000
0.5000 0.3158 0.5502
0.0000 0.6397 0.7500
0.0000 0.3603 0.2500



No. 3
ErZr2Os3 PBE-GGA relaxed; symmetry = P4/mmm (123)
1.0
3.3093 0.0000 0.0000
0.0000 3.3093 0.0000
0.0000 0.0000 9.9867
Er Os Zr
1 3 2
direct
0.5000 0.5000 0.5000
0.0000 0.0000 0.0000
0.0000 0.0000 0.3211
0.0000 0.0000 0.6789
0.5000 0.5000 0.8343
0.5000 0.5000 0.1657



No. 4
ZnCd4Pt PBE-GGA relaxed; polymorph energy (0 for the lowest one) = 396 meV/atom; symmetry = F-43m (216)
1.0
0.0000 3.9228 3.9228
3.9228 0.0000 3.9228
3.9228 3.9228 0.0000
Cd Zn Pt
4 1 1
direct
0.3752 0.8743 0.3752
0.8743 0.3752 0.3752
0.3752 0.3752 0.8743
0.3752 0.3752 0.3752
0.0000 0.0000 0.0000
0.7500 0.7500 0.7500



No. 5
SrYAl PBE-GGA relaxed; polymorph energy (0 for the lowest one) = 255 meV/atom; symmetry = P3m1 (156)
1.0
-2.4892 2.3796 4.0591
-2.7297 -1.3755 -4.3579
-0.7546 -3.4568 1.5638
Al Y Sr
1 1 1
direct
0.0000 0.0000 0.9217
0.3333 0.6667 0.7647
0.6667 0.3333 0.3136



No. 6
CrAu2Se PBE-GGA relaxed; ΔE_f (raw) = 52 meV per atom; symmetry = P4mm (99)
1.0
-0.2142 3.1004 0.4940
-2.8009 0.0350 -1.4341
-3.3549 -1.2709 6.5213
Au Se Cr
2 1 1
direct
0.5000 0.5000 0.2727
0.0000 0.0000 0.0245
0.5000 0.5000 0.6840
0.0000 0.0000 0.5189



Sequential calculated total energy output: -19.55 -25.59 -57.94 -9.67 -11.76 -19.45 eV for the cell shown